Entry 1:
# RbCe2TaO8 | the Alexandria database | PBE | optimized geometry
data_RbCe2TaO8
_chemical_formula_sum 'Rb2 Ce4 Ta2 O16'
_cell_length_a 6.927
_cell_length_b 6.953
_cell_length_c 8.121
_cell_angle_alpha 90.00
_cell_angle_beta 90.75
_cell_angle_gamma 90.00
_symmetry_space_group_name_H-M 'C 1 2/m 1'
_symmetry_Int_Tables_number 12
_symmetry_space_group_name_Hall '-C 2y'
loop_
_atom_site_label
_atom_site_type_symbol
_atom_site_fract_x
_atom_site_fract_y
_atom_site_fract_z
Rb1 Rb 0.000 0.000 0.000
Ce1 Ce 0.005 0.500 0.285
Ta1 Ta 0.000 0.000 0.500
O1 O 0.007 0.195 0.683
O2 O 0.106 0.500 0.000
O3 O 0.210 0.500 0.504
# ΔE_f (raw) (meV per atom): -2635

Entry 2:
# Nd2SmSi3Pt12 | the Alexandria database | PBE | optimized geometry
data_Nd2SmSi3Pt12
_chemical_formula_sum 'Nd6 Sm3 Si9 Pt36'
_cell_length_a 8.3539
_cell_length_b 8.3539
_cell_length_c 18.1760
_cell_angle_alpha 90.00
_cell_angle_beta 90.00
_cell_angle_gamma 120.00
_symmetry_space_group_name_H-M 'R -3 m'
_symmetry_Int_Tables_number 166
_symmetry_space_group_name_Hall '-R 3 2"'
loop_
_atom_site_label
_atom_site_type_symbol
_atom_site_fract_x
_atom_site_fract_y
_atom_site_fract_z
Nd1 Nd 0.0000 0.0000 0.0974
Sm1 Sm 0.0000 0.0000 0.5000
Si1 Si 0.0000 0.5000 0.0000
Pt1 Pt 0.0343 0.5171 0.3656
Pt2 Pt 0.0364 0.5182 0.8704
# N(E_F) (states/eV/cell): 29.1
# ΔE_f (raw) (meV per atom): -532

Entry 3:
# SmEr2Ag3Se6 | the Alexandria database | PBE | optimized geometry
data_SmEr2Ag3Se6
_chemical_formula_sum 'Sm2 Er4 Ag6 Se12'
_cell_length_a 16.212
_cell_length_b 4.204
_cell_length_c 9.926
_cell_angle_alpha 90.00
_cell_angle_beta 106.35
_cell_angle_gamma 90.00
_symmetry_space_group_name_H-M 'C 1 2/m 1'
_symmetry_Int_Tables_number 12
_symmetry_space_group_name_Hall '-C 2y'
loop_
_atom_site_label
_atom_site_type_symbol
_atom_site_fract_x
_atom_site_fract_y
_atom_site_fract_z
Sm1 Sm 0.000 0.000 0.000
Er1 Er 0.164 0.500 0.337
Ag1 Ag 0.000 0.000 0.500
Ag2 Ag 0.175 0.500 0.957
Se1 Se 0.013 0.500 0.798
Se2 Se 0.158 0.000 0.524
Se3 Se 0.188 0.000 0.148
# N(E_F) (states/eV/cell): 0.0
# ΔE_f (raw) (meV per atom): -1177

Entry 4:
# Co2SiNi | the Alexandria database | PBE | optimized geometry
data_Co2SiNi
_chemical_formula_sum 'Co4 Si2 Ni2'
_cell_length_a 3.605
_cell_length_b 3.605
_cell_length_c 6.592
_cell_angle_alpha 90.00
_cell_angle_beta 90.00
_cell_angle_gamma 90.00
_symmetry_space_group_name_H-M 'I 4/m m m'
_symmetry_Int_Tables_number 139
_symmetry_space_group_name_Hall '-I 4 2'
loop_
_atom_site_label
_atom_site_type_symbol
_atom_site_fract_x
_atom_site_fract_y
_atom_site_fract_z
Co1 Co 0.000 0.500 0.250
Si1 Si 0.000 0.000 0.000
Ni1 Ni 0.000 0.000 0.500
# N(E_F) (states/eV/cell): 7.1
# ΔE_f (raw) (meV per atom): -311

Entry 5:
# YPaZnPt | the Alexandria database | PBE | optimized geometry
data_YPaZnPt
_chemical_formula_sum 'Y4 Pa4 Zn4 Pt4'
_cell_length_a 7.069
_cell_length_b 7.069
_cell_length_c 7.069
_cell_angle_alpha 90.00
_cell_angle_beta 90.00
_cell_angle_gamma 90.00
_symmetry_space_group_name_H-M 'F -4 3 m'
_symmetry_Int_Tables_number 216
_symmetry_space_group_name_Hall 'F -4 2 3'
loop_
_atom_site_label
_atom_site_type_symbol
_atom_site_fract_x
_atom_site_fract_y
_atom_site_fract_z
Y1 Y 0.000 0.000 0.000
Pa1 Pa 0.000 0.000 0.500
Zn1 Zn 0.250 0.250 0.250
Pt1 Pt 0.250 0.250 0.750
# N(E_F) (states/eV/cell): 18.4
# Formation enthalpy at 0 K (eV/atom): -0.4693

Entry 6:
# Pm2InH | the Alexandria database | PBE | optimized geometry
data_Pm2InH
_chemical_formula_sum 'Pm6 In3 H3'
_cell_length_a 3.7016
_cell_length_b 3.7016
_cell_length_c 23.8428
_cell_angle_alpha 90.00
_cell_angle_beta 90.00
_cell_angle_gamma 120.00
_symmetry_space_group_name_H-M 'R -3 m'
_symmetry_Int_Tables_number 166
_symmetry_space_group_name_Hall '-R 3 2"'
loop_
_atom_site_label
_atom_site_type_symbol
_atom_site_fract_x
_atom_site_fract_y
_atom_site_fract_z
Pm1 Pm 0.0000 0.0000 0.2266
In1 In 0.0000 0.0000 0.0000
H1 H 0.0000 0.0000 0.5000
# Relative energy among the computed polymorphs (meV/atom): 124
# N(E_F) (states/eV/cell): 8.8

Entry 7:
# ErSc2Ga2 | the Alexandria database | PBE | optimized geometry
data_ErSc2Ga2
_chemical_formula_sum 'Er2 Sc4 Ga4'
_cell_length_a 5.184
_cell_length_b 3.614
_cell_length_c 12.204
_cell_angle_alpha 90.00
_cell_angle_beta 96.27
_cell_angle_gamma 90.00
_symmetry_space_group_name_H-M 'P 1 21/m 1'
_symmetry_Int_Tables_number 11
_symmetry_space_group_name_Hall '-P 2yb'
loop_
_atom_site_label
_atom_site_type_symbol
_atom_site_fract_x
_atom_site_fract_y
_atom_site_fract_z
Er1 Er 0.183 0.250 0.237
Sc1 Sc 0.242 0.750 0.470
Sc2 Sc 0.345 0.250 0.892
Ga1 Ga 0.154 0.750 0.040
Ga2 Ga 0.292 0.250 0.660
# N(E_F) (states/eV/cell): 9.7
# Formation enthalpy at 0 K (eV/atom): -0.3793

Entry 8:
# Er3MgTl3 | the Alexandria database | PBE | optimized geometry
data_Er3MgTl3
_chemical_formula_sum 'Er6 Mg2 Tl6'
_cell_length_a 8.9692
_cell_length_b 8.9692
_cell_length_c 5.5223
_cell_angle_alpha 90.00
_cell_angle_beta 90.00
_cell_angle_gamma 120.00
_symmetry_space_group_name_H-M 'P 63/m'
_symmetry_Int_Tables_number 176
_symmetry_space_group_name_Hall '-P 6c'
loop_
_atom_site_label
_atom_site_type_symbol
_atom_site_fract_x
_atom_site_fract_y
_atom_site_fract_z
Er1 Er 0.0998 0.4545 0.2500
Mg1 Mg 0.3333 0.6667 0.7500
Tl1 Tl 0.0554 0.2565 0.7500
# N(E_F) (states/eV/cell): 10.9
# Formation enthalpy at 0 K (eV/atom): -0.1299

Entry 9:
# HfNpTa2 | the Alexandria database | PBE | optimized geometry
data_HfNpTa2
_chemical_formula_sum 'Hf1 Np1 Ta2'
_cell_length_a 3.399
_cell_length_b 3.399
_cell_length_c 6.875
_cell_angle_alpha 90.00
_cell_angle_beta 90.00
_cell_angle_gamma 90.00
_symmetry_space_group_name_H-M 'P 4/m m m'
_symmetry_Int_Tables_number 123
_symmetry_space_group_name_Hall '-P 4 2'
loop_
_atom_site_label
_atom_site_type_symbol
_atom_site_fract_x
_atom_site_fract_y
_atom_site_fract_z
Hf1 Hf 0.000 0.000 0.000
Np1 Np 0.000 0.000 0.500
Ta1 Ta 0.500 0.500 0.272
# N(E_F) (states/eV/cell): 8.0
# Formation enthalpy at 0 K (eV/atom): 0.3469

Entry 10:
# Mg2In2Ir | the Alexandria database | PBE | optimized geometry
data_Mg2In2Ir
_chemical_formula_sum 'Mg4 In4 Ir2'
_cell_length_a 7.031
_cell_length_b 7.031
_cell_length_c 4.335
_cell_angle_alpha 90.00
_cell_angle_beta 90.00
_cell_angle_gamma 90.00
_symmetry_space_group_name_H-M 'P 4/m b m'
_symmetry_Int_Tables_number 127
_symmetry_space_group_name_Hall '-P 4 2ab'
loop_
_atom_site_label
_atom_site_type_symbol
_atom_site_fract_x
_atom_site_fract_y
_atom_site_fract_z
Mg1 Mg 0.169 0.331 0.000
In1 In 0.145 0.645 0.500
Ir1 Ir 0.000 0.000 0.500
# Relative energy among the computed polymorphs (meV/atom): 232
# N(E_F) (states/eV/cell): 5.7
# Formation enthalpy at 0 K (eV/atom): 0.0764

Entry 11:
# CsCdSn3 | the Alexandria database | PBE | optimized geometry
data_CsCdSn3
_chemical_formula_sum 'Cs2 Cd2 Sn6'
_cell_length_a 7.033
_cell_length_b 7.342
_cell_length_c 7.422
_cell_angle_alpha 89.93
_cell_angle_beta 89.99
_cell_angle_gamma 89.97
_symmetry_space_group_name_H-M 'P 1'
_symmetry_Int_Tables_number 1
_symmetry_space_group_name_Hall 'P 1'
loop_
_atom_site_label
_atom_site_type_symbol
_atom_site_fract_x
_atom_site_fract_y
_atom_site_fract_z
Cs1 Cs 0.000 0.000 0.000
Cs2 Cs 0.499 0.502 0.282
Cd1 Cd 0.500 0.792 0.798
Cd2 Cd 0.999 0.294 0.483
Sn1 Sn 0.209 0.507 0.796
Sn2 Sn 0.290 0.008 0.487
Sn3 Sn 0.500 0.190 0.810
Sn4 Sn 0.708 0.009 0.485
Sn5 Sn 0.791 0.507 0.798
Sn6 Sn 0.999 0.692 0.474
# Relative energy among the computed polymorphs (meV/atom): 101
# N(E_F) (states/eV/cell): 5.6
# Formation enthalpy at 0 K (eV/atom): -0.0605

Entry 12:
# Ca2ScOs | the Alexandria database | PBE | optimized geometry
data_Ca2ScOs
_chemical_formula_sum 'Ca4 Sc2 Os2'
_cell_length_a 3.530
_cell_length_b 5.488
_cell_length_c 10.928
_cell_angle_alpha 90.00
_cell_angle_beta 90.00
_cell_angle_gamma 90.00
_symmetry_space_group_name_H-M 'I m m 2'
_symmetry_Int_Tables_number 44
_symmetry_space_group_name_Hall 'I 2 -2'
loop_
_atom_site_label
_atom_site_type_symbol
_atom_site_fract_x
_atom_site_fract_y
_atom_site_fract_z
Ca1 Ca 0.000 0.000 0.000
Ca2 Ca 0.000 0.500 0.193
Sc1 Sc 0.000 0.000 0.379
Os1 Os 0.000 0.500 0.715
# Relative energy among the computed polymorphs (meV/atom): 115
# N(E_F) (states/eV/cell): 4.7
# Formation enthalpy at 0 K (eV/atom): 0.1370